Entry 1:
# LaEr7Cd4

A geometry-optimized LaEr7Cd4 structure (GGA-PBE, the Alexandria database).

Unit cell a=14.6494 b=5.6980 c=9.6643 alpha=90.00 beta=121.96 gamma=90.00
Last column: nearest neighbours and their distance in Å.
Space group C2/m (No. 12)
Inequivalent atoms, fractional coordinates:
1 La 0.0000 0.0000 0.0000 (multiplicity 2)  2 Er 2.85
2 Er 0.0000 0.5000 0.0000 (multiplicity 2)  2 La 2.85, 4 Cd 2.93-3.14
3 Er 0.0724 0.0000 0.4158 (multiplicity 4)  3 Cd 3.09-3.20, 1 Er 3.29
4 Er 0.2067 0.0000 0.8799 (multiplicity 4)  3 Cd 3.29-3.53, 5 Er 3.46-3.54
5 Er 0.2357 0.5000 0.6911 (multiplicity 4)  4 Cd 2.96-3.17
6 Cd 0.0412 0.5000 0.7121 (multiplicity 4)  4 Er 2.96-3.20, 1 Cd 3.04
7 Cd 0.1821 0.5000 0.3394 (multiplicity 4)  5 Er 2.93-3.17, 1 Cd 3.04

Calculated values
energy relative to the elements: 0.02 eV per atom
VASP energy: -3.359 eV per atom

***

Entry 2:
# TlAg2Br3

A geometry-optimized TlAg2Br3 structure (GGA-PBE, the Alexandria database).

Unit cell a=14.1316 b=8.3988 c=7.3807 alpha=90.00 beta=90.00 gamma=90.00
Last column: nearest neighbours and their distance in Å.
Space group Cmc2_1 (No. 36)
Inequivalent atoms, fractional coordinates:
1 Tl 0.0000 0.1874 0.0000 (multiplicity 4)  4 Br 3.25-3.30
2 Ag 0.1711 0.3342 0.5208 (multiplicity 8)  4 Br 2.72-2.73
3 Br 0.0000 0.2021 0.4421 (multiplicity 4)  2 Ag 2.72
4 Br 0.1949 0.3670 0.8846 (multiplicity 8)  3 Ag 2.72-2.73

Calculated values
raw formation energy: -501.1 meV/atom
VASP energy: -2.682 eV per atom
ΔE to the lowest computed polymorph: 0 meV/atom

***

Entry 3:
# Tb9Pm4Cd11

A geometry-optimized Tb9Pm4Cd11 structure (GGA-PBE, the Alexandria database).

Unit cell a=16.0447 b=22.9531 c=3.5554 alpha=90.00 beta=90.00 gamma=90.00
Last column: nearest neighbours and their distance in Å.
Space group Cmmm (No. 65)
Inequivalent atoms, fractional coordinates:
1 Tb 0.0000 0.0000 0.0000 (multiplicity 2)  4 Pm 3.29, 4 Cd 3.48, 2 Tb 3.56
2 Tb 0.1113 0.4046 0.0000 (multiplicity 8)  8 Cd 3.21-3.34, 3 Tb 3.56-3.57, 1 Pm 3.58
3 Tb 0.1148 0.2303 0.0000 (multiplicity 8)  8 Cd 3.24-3.44, 1 Pm 3.47, 2 Tb 3.56
4 Pm 0.1665 0.0837 0.0000 (multiplicity 8)  3 Tb 3.29-3.58, 6 Cd 3.31-3.38, 2 Pm 3.56
5 Cd 0.0000 0.1304 0.5000 (multiplicity 4)  4 Pm 3.38, 6 Tb 3.44-3.48, 2 Cd 3.56
6 Cd 0.0000 0.3168 0.5000 (multiplicity 4)  8 Tb 3.23-3.24, 2 Cd 3.56
7 Cd 0.0000 0.5000 0.5000 (multiplicity 2)  4 Cd 3.32-3.56, 8 Tb 3.34
8 Cd 0.2068 0.5000 0.5000 (multiplicity 4)  4 Tb 3.21, 4 Pm 3.31, 3 Cd 3.32-3.56
9 Cd 0.2286 0.3178 0.5000 (multiplicity 8)  3 Cd 3.19-3.56, 6 Tb 3.24-3.27, 2 Pm 3.33

Calculated values
energy relative to the elements: -0.24 eV per atom
VASP energy: -3.188 eV per atom

***

Entry 4:
# Ni2AsPt

A geometry-optimized Ni2AsPt structure (GGA-PBE, the Alexandria database).

Unit cell a=3.3742 b=3.9428 c=8.0449 alpha=90.00 beta=90.00 gamma=90.00
Last column: nearest neighbours and their distance in Å.
Space group Imm2 (No. 44)
Inequivalent atoms, fractional coordinates:
1 Ni 0.0000 0.0000 0.0000 (multiplicity 2)  4 As 2.60, 4 Ni 2.63-2.83, 4 Pt 2.70-2.76
2 Ni 0.0000 0.5000 0.2171 (multiplicity 2)  2 As 2.38, 4 Pt 2.63, 2 Ni 2.63
3 As 0.0000 0.0000 0.5076 (multiplicity 2)  6 Ni 2.38-2.60, 2 Pt 2.54
4 Pt 0.0000 0.5000 0.7711 (multiplicity 2)  2 As 2.54, 8 Ni 2.63-2.76

Calculated values
energy relative to the elements: -0.11 eV per atom
VASP energy: -5.671 eV per atom

***

Entry 5:
# YFe2

A geometry-optimized YFe2 structure (GGA-PBE, the Alexandria database).

Unit cell a=9.2022 b=3.7690 c=6.3893 alpha=90.00 beta=95.20 gamma=90.00
Last column: nearest neighbours and their distance in Å.
Space group Cm (No. 8)
Inequivalent atoms, fractional coordinates:
1 Y 0.0000 0.0000 0.0000 (multiplicity 2)  7 Fe 2.84-3.12
2 Y 0.2496 0.0000 0.6591 (multiplicity 2)  4 Fe 2.61-2.86
3 Fe 0.0294 0.5000 0.6165 (multiplicity 2)  3 Fe 2.32-2.41
4 Fe 0.1571 0.5000 0.3034 (multiplicity 2)  3 Fe 2.41-2.52
5 Fe 0.3288 0.0000 0.2365 (multiplicity 2)  4 Fe 2.45-2.52
6 Fe 0.4465 0.5000 0.4306 (multiplicity 2)  4 Fe 2.32-2.45

Calculated values
energy relative to the elements: 0.20 eV per atom
VASP energy: -7.593 eV per atom

***

Entry 6:
# LiGaC

A geometry-optimized LiGaC structure (GGA-PBE, the Alexandria database).

Unit cell a=3.5263 b=10.8927 c=5.1368 alpha=90.00 beta=90.00 gamma=90.00
Last column: nearest neighbours and their distance in Å.
Space group Imm2 (No. 44)
Inequivalent atoms, fractional coordinates:
1 Li 0.0000 0.0000 0.0000 (multiplicity 2)  4 C 2.23-2.48, 4 Li 2.39
2 Li 0.0000 0.3530 0.5459 (multiplicity 4)  4 C 2.25-2.29, 2 Li 2.39
3 Ga 0.0000 0.0000 0.5058 (multiplicity 2)  4 C 2.12-2.13
4 Ga 0.0000 0.3135 0.0415 (multiplicity 4)  4 C 2.07-2.26
5 C 0.0000 0.1733 0.3137 (multiplicity 4)  4 Ga 2.07-2.13, 3 Li 2.25-2.29
6 C 0.0000 0.5000 0.2351 (multiplicity 2)  4 Ga 2.12-2.26, 4 Li 2.23-2.26

Calculated values
energy relative to the elements: 0.27 eV per atom
VASP energy: -4.448 eV per atom

***

Entry 7:
# PrSi2AgPt5

A geometry-optimized PrSi2AgPt5 structure (GGA-PBE, the Alexandria database).

Unit cell a=4.0714 b=4.0714 c=10.9631 alpha=90.00 beta=90.00 gamma=90.00
Last column: nearest neighbours and their distance in Å.
Space group P4/mmm (No. 123)
Inequivalent atoms, fractional coordinates:
1 Pr 0.0000 0.0000 0.0000 (multiplicity 1)  4 Pt 2.88
2 Si 0.5000 0.5000 0.2149 (multiplicity 2)  5 Pt 2.35-2.36
3 Ag 0.0000 0.0000 0.5000 (multiplicity 1)  8 Pt 2.82
4 Pt 0.0000 0.5000 0.3215 (multiplicity 4)  2 Si 2.35
5 Pt 0.5000 0.5000 0.0000 (multiplicity 1)  2 Si 2.36

Calculated values
raw formation energy: -562.5 meV/atom
VASP energy: -5.972 eV per atom

***

Entry 8:
# Tb8Cu2Ru

A geometry-optimized Tb8Cu2Ru structure (GGA-PBE, the Alexandria database).

Unit cell a=17.2677 b=5.1189 c=6.7212 alpha=90.00 beta=107.00 gamma=90.00
Last column: nearest neighbours and their distance in Å.
Space group C2/m (No. 12)
Inequivalent atoms, fractional coordinates:
1 Tb 0.0320 0.0000 0.2937 (multiplicity 4)  1 Cu 2.81, 2 Ru 3.04
2 Tb 0.0903 0.5000 0.9416 (multiplicity 4)  1 Ru 2.92
3 Tb 0.1667 0.5000 0.4779 (multiplicity 4)  1 Cu 2.78, 1 Ru 2.93
4 Tb 0.1979 0.0000 0.8222 (multiplicity 4)  1 Cu 2.76
5 Cu 0.1839 0.0000 0.2207 (multiplicity 4)  3 Tb 2.76-2.81
6 Ru 0.0000 0.5000 0.5000 (multiplicity 2)  8 Tb 2.92-3.04

Calculated values
energy relative to the elements: -0.16 eV per atom
VASP energy: -5.117 eV per atom

***

Entry 9:
# Nd2Zn3Ga2

A geometry-optimized Nd2Zn3Ga2 structure (GGA-PBE, the Alexandria database).

Unit cell a=10.6783 b=4.4428 c=6.6136 alpha=90.00 beta=111.46 gamma=90.00
Last column: nearest neighbours and their distance in Å.
Space group C2/m (No. 12)
Inequivalent atoms, fractional coordinates:
1 Nd 0.1520 0.0000 0.2656 (multiplicity 4)  7 Zn 3.09-3.44, 5 Ga 3.10-3.35
2 Zn 0.0000 0.5000 0.5000 (multiplicity 2)  2 Zn 2.57
3 Zn 0.0910 0.5000 0.9176 (multiplicity 4)  2 Zn 2.55-2.57, 3 Ga 2.64-2.80
4 Ga 0.1513 0.0000 0.7581 (multiplicity 4)  5 Zn 2.64-2.91

Calculated values
energy relative to the elements: -0.46 eV per atom
VASP energy: -3.235 eV per atom
ΔE to the lowest computed polymorph: 0 meV/atom

***

Entry 10:
# KAcAgCl6

A geometry-optimized KAcAgCl6 structure (GGA-PBE, the Alexandria database).

Unit cell a=9.3434 b=9.5253 c=12.7778 alpha=90.00 beta=90.00 gamma=90.00
Last column: nearest neighbours and their distance in Å.
Space group Imma (No. 74)
Inequivalent atoms, fractional coordinates:
1 K 0.0000 0.2500 0.1998 (multiplicity 4)  8 Cl 3.42-3.59
2 Ac 0.2500 0.2500 0.7500 (multiplicity 4)  8 Cl 2.93-3.13
3 Ag 0.0000 0.0000 0.5000 (multiplicity 4)  6 Cl 2.56-2.76
4 Cl 0.0000 0.2500 0.6087 (multiplicity 4)  2 Ag 2.76, 2 Ac 2.95
5 Cl 0.0000 0.2500 0.8891 (multiplicity 4)  2 Ac 2.93
6 Cl 0.1948 0.0371 0.3621 (multiplicity 16)  1 Ag 2.56

Calculated values
raw formation energy: -1587.1 meV/atom
VASP energy: -3.713 eV per atom

***

Let's list D(E_F) in order: 29.2, 0.0, 56.7, 7.9, 10.8, 0.0, 2.9, 20.5, 8.2, 13.2 states/eV per cell.